Density functional theory data (PBE) for crystalline Ag2Pd3Au5 at its relaxed geometry. Values from VASP.

```
&SYSTEM
  ibrav = 0, nat = 20, ntyp = 3
/
ATOMIC_SPECIES
Au 196.97 Au.upf
Ag 107.87 Ag.upf
Pd 106.42 Pd.upf
ATOMIC_POSITIONS crystal
Au 0.2524 0.5024 0.0047
Ag 0.4328 0.7641 0.7560
Au 0.1340 0.3833 0.2482
Pd 0.2451 0.9951 0.9903
Ag 0.8232 0.9919 0.7560
Pd 0.9326 0.2438 0.7517
Au 0.4937 0.7437 0.4874
Pd 0.6810 0.4921 0.2483
Pd 0.3190 0.5079 0.7517
Au 0.6141 0.8648 0.2482
Au 0.8660 0.6167 0.7518
Ag 0.1768 0.0081 0.2440
Ag 0.5672 0.2359 0.2440
Pd 0.0674 0.7562 0.2483
Au 0.3859 0.1352 0.7518
Au 0.5063 0.2563 0.5126
Au 0.0059 0.7558 0.5117
Au 0.7476 0.4976 0.9953
Au 0.9941 0.2442 0.4883
Pd 0.7549 0.0049 0.0097
CELL_PARAMETERS angstrom
8.4414 1.8368 -4.0475
0.8131 7.1833 -3.5899
-2.8441 -2.3675 8.5100
```

Output
Raw total energy: -3.6864 eV per atom
M_tot: 0.0 μB per cell
ρ: 13.44 g cm⁻³